Entry from the Alexandria database: a geometry-optimized Y2Ho3Pd2 structure (PBE).

Excess energy over the best structure of this formula in the dataset (meV per atom): 0
DOS at the Fermi energy (states/eV/atom): 1.252
Energy of formation (meV/atom): -537

abc: 3.733 6.439 9.033
angles: 115.54 90.00 106.85
Element x y z (fractional)
Ho 0.386 0.772 0.560
Ho 0.614 0.228 0.440
Ho 0.500 0.000 0.000
Pd 0.832 0.664 0.764
Pd 0.168 0.336 0.236
Y 0.156 0.312 0.811
Y 0.844 0.688 0.189